An optimized crystal structure of PmNd3Tl4. Source: Alexandria via LeMat-Bulk, functional PBE.

abc: 3.7228 7.3957 18.6876
angles: 90.00 90.00 90.00
Closest atoms and distances in Å follow each position.
Space group Immm (No. 71)
Symmetry-distinct sites (fractional):
Pm (0.0000, 0.0000, 0.0000)  4 Tl 3.20
Nd (0.0000, 0.0000, 0.5000)  8 Tl 3.40, 2 Nd 3.72
Nd (0.0000, 0.5000, 0.2844)  6 Tl 3.28-3.33
Tl (0.0000, 0.2890, 0.1272)  1 Tl 3.12, 1 Pm 3.20, 5 Nd 3.28-3.40

Calculated values
The value obtained for the offset from the most stable computed form is 3.29 kcal/mol of atoms. The value obtained for the formation energy is -250 meV/atom. The calculation puts the size of the total moment at 0.24 μB per formula unit. The calculated density is 9006 kg/m3. Its total energy is -3.815 eV/atom.

---

An optimized crystal structure of Pm2Nd2Tl5. Source: Alexandria via LeMat-Bulk, functional PBE.

abc: 16.4626 8.2706 8.3317
angles: 90.00 90.00 90.00
Closest atoms and distances in Å follow each position.
Space group Cmce (No. 64)
Symmetry-distinct sites (fractional):
Pm (0.0000, 0.1544, 0.1560)  8 Tl 3.14-3.34
Nd (0.2004, 0.0000, 0.5000)  7 Tl 3.23-3.38
Tl (0.0000, 0.0000, 0.5000)  4 Pm 3.14, 2 Nd 3.30
Tl (0.1337, 0.1474, 0.8547)  3 Pm 3.21-3.34, 3 Nd 3.23-3.38, 1 Tl 3.44

Calculated values
The value obtained for the formation energy is -244 meV/atom. The calculation puts the size of the total moment at 0.00 μB per formula unit. The calculated density is 9371 kg/m3. Its total energy is -3.674 eV/atom.

---

An optimized crystal structure of PmNd5Tl8. Source: Alexandria via LeMat-Bulk, functional PBE.

abc: 9.5207 9.5207 9.4905
angles: 90.00 90.00 90.00
Closest atoms and distances in Å follow each position.
Space group I-4 (No. 82)
Symmetry-distinct sites (fractional):
Pm (0.0000, 0.0000, 0.0000)  8 Tl 3.27-3.28
Nd (0.0000, 0.5000, 0.7500)  8 Tl 3.29-3.30
Nd (0.1239, 0.7484, 0.3751)  8 Tl 3.28-3.31
Tl (0.0814, 0.8331, 0.7088)  1 Pm 3.28, 5 Nd 3.29-3.31, 3 Tl 3.52-3.56
Tl (0.0837, 0.6694, 0.0412)  1 Pm 3.27, 5 Nd 3.28-3.30, 3 Tl 3.52-3.60

Calculated values
The value obtained for the formation energy is -303 meV/atom. The calculation puts the size of the total moment at 0.00 μB per formula unit. The calculated density is 9656 kg/m3. Its total energy is -3.698 eV/atom.